# 1
Compound: TiRuPtRh
Source: the Alexandria database
Functional: GGA-PBE
Structure: relaxed

Cell lengths 3.845, 3.870, 3.921 Å; angles 90.00, 90.00, 90.00 degrees
Fractional coordinates of all 4 atoms:
Ti  0.000  0.000  0.000
Ru  0.500  0.500  0.000
Pt  0.000  0.500  0.500
Rh  0.500  0.000  0.500

Calculated values
VASP energy (eV per cell): -33.0
SG: Pmmm (47)
Crystal system: orthorhombic
ΔH_f (0 K) (kJ/mol of formula units): -238


# 2
Compound: URuPt2Rh2
Source: the Alexandria database
Functional: GGA-PBE
Structure: relaxed

Cell lengths 5.744, 5.495, 6.505 Å; angles 90.00, 102.40, 90.00 degrees
Fractional coordinates of all 12 atoms:
U  0.232  0.250  0.218
U  0.768  0.750  0.782
Ru  0.477  0.750  0.471
Ru  0.523  0.250  0.529
Pt  0.320  0.004  0.814
Pt  0.320  0.496  0.814
Pt  0.680  0.504  0.186
Pt  0.680  0.996  0.186
Rh  0.011  0.750  0.493
Rh  0.103  0.750  0.087
Rh  0.897  0.250  0.913
Rh  0.989  0.250  0.507

Calculated values
VASP energy (eV per cell): -99.1
SG: P2_1/m (11)
Crystal system: monoclinic
ΔH_f (0 K) (kJ/mol of formula units): -212


# 3
Compound: URuPtRh
Source: the Alexandria database
Functional: GGA-PBE
Structure: relaxed

Cell lengths 3.891, 4.053, 4.198 Å; angles 90.00, 90.00, 90.00 degrees
Fractional coordinates of all 4 atoms:
U  0.000  0.000  0.000
Ru  0.500  0.500  0.000
Pt  0.000  0.500  0.500
Rh  0.500  0.000  0.500

Calculated values
VASP energy (eV per cell): -36.5
SG: Pmmm (47)
Crystal system: orthorhombic
ΔH_f (0 K) (kJ/mol of formula units): -243


# 4
Compound: VRuPtRh2
Source: the Alexandria database
Functional: GGA-PBE
Structure: relaxed

Cell lengths 4.402, 4.402, 4.633 Å; angles 90.00, 90.00, 90.00 degrees
Fractional coordinates of all 5 atoms:
V  0.000  0.000  0.000
Ru  0.500  0.500  0.500
Pt  0.000  0.000  0.500
Rh  0.000  0.500  0.000
Rh  0.500  0.000  0.000

Calculated values
VASP energy (eV per cell): -33.9
SG: P4/mmm (123)
Crystal system: tetragonal
ΔE to the lowest computed polymorph (meV per atom): 0
ΔH_f (0 K) (kJ/mol of formula units): 503


# 5
Compound: VRuPtRh2
Source: the Alexandria database
Functional: GGA-PBE
Structure: relaxed

Cell lengths 4.650, 4.650, 4.340 Å; angles 90.00, 90.00, 90.00 degrees
Fractional coordinates of all 5 atoms:
V  0.000  0.000  0.000
Ru  0.000  0.000  0.500
Pt  0.500  0.500  0.000
Rh  0.000  0.500  0.500
Rh  0.500  0.000  0.500

Calculated values
VASP energy (eV per cell): -32.8
SG: P4/mmm (123)
Crystal system: tetragonal
ΔE to the lowest computed polymorph (meV per atom): 222
ΔH_f (0 K) (kJ/mol of formula units): 610


# 6
Compound: Ru2Pt2Rh2W
Source: the Alexandria database
Functional: GGA-PBE
Structure: relaxed

Cell lengths 4.616, 4.616, 9.282 Å; angles 104.48, 104.48, 34.45 degrees
Fractional coordinates of all 7 atoms:
Ru  0.072  0.072  0.281
Ru  0.928  0.928  0.719
Pt  0.164  0.164  0.591
Pt  0.836  0.836  0.409
Rh  0.310  0.310  0.135
Rh  0.690  0.690  0.865
W  0.000  0.000  0.000

Calculated values
VASP energy (eV per cell): -57.1
SG: C2/m (12)
Crystal system: monoclinic
ΔH_f (0 K) (kJ/mol of formula units): 113


# 7
Compound: PtRh2S2
Source: the Alexandria database
Functional: GGA-PBE
Structure: relaxed

Cell lengths 4.924, 4.924, 4.924 Å; angles 123.17, 123.17, 84.59 degrees
Fractional coordinates of all 5 atoms:
Pt  0.000  0.000  0.000
Rh  0.250  0.750  0.500
Rh  0.750  0.250  0.500
S  0.315  0.315  0.000
S  0.685  0.685  0.000

Calculated values
VASP energy (eV per cell): -29.0
SG: I4/mmm (139)
Crystal system: tetragonal
ΔE to the lowest computed polymorph (meV per atom): 0


# 8
Compound: PtRhS4
Source: the Alexandria database
Functional: GGA-PBE
Structure: relaxed

Cell lengths 6.038, 6.038, 6.208 Å; angles 120.77, 120.77, 34.33 degrees
Fractional coordinates of all 6 atoms:
Pt  0.000  0.000  0.000
Rh  0.500  0.500  0.500
S  0.124  0.124  0.459
S  0.376  0.376  0.047
S  0.624  0.624  0.953
S  0.876  0.876  0.541

Calculated values
VASP energy (eV per cell): -31.9
SG: C2/m (12)
Crystal system: monoclinic
ΔE to the lowest computed polymorph (meV per atom): 0